# 1
# PdCSe2Br

Crystalline PdCSe2Br at its relaxed geometry (PBE, Alexandria via LeMat-Bulk).

The structure in extended XYZ format:
```
5
Lattice="4.377 0.000 0.000 0.000 4.377 0.000 0.000 0.000 4.749" Properties=species:S:1:pos:R:3 pbc="T T T"
Pd 0.000 0.000 0.000
C 2.189 2.189 2.374
Se 0.000 2.189 2.374
Se 2.189 0.000 2.374
Br 2.189 2.189 0.000
```

Output
DOS(E_F) = 6.45 states/eV per cell
total energy = -3.37 eV/atom
ΔE to the lowest computed polymorph = 0.0 meV/atom
formation energy from raw total energies = 1.238 eV per atom
space-group type = P4/mmm, No. 123

***

# 2
# ErTi2Fe9

Crystalline ErTi2Fe9 at its relaxed geometry (PBE, Alexandria via LeMat-Bulk).

The structure in extended XYZ format:
```
12
Lattice="2.436 1.406 7.822 -2.436 1.406 7.822 0.000 -2.812 7.822" Properties=species:S:1:pos:R:3 pbc="T T T"
Er 0.000 0.000 0.000
Ti 0.000 0.000 3.399
Ti 0.000 0.000 20.067
Fe -1.232 -0.711 9.851
Fe 0.000 0.000 7.820
Fe 0.000 -1.423 13.614
Fe -1.232 0.711 13.614
Fe 0.000 0.000 11.733
Fe 1.232 -0.711 9.851
Fe 0.000 1.423 9.851
Fe 0.000 0.000 15.646
Fe 1.232 0.711 13.614
```

Output
DOS(E_F) = 10.35 states/eV per cell
total energy = -8.23 eV/atom
energy of formation = -187 meV/atom
space-group type = R-3m, No. 166